Material: LiDyThSi
Method: DFT, PBE
State: optimized geometry

## Properties
- Total DFT energy (no corrections): -5.0636 eV/atom
- Theoretical density: 7.8 g/cm³

Cell lengths 7.1559, 7.1559, 7.1559 Å; angles 90.00, 90.00, 90.00 degrees
Space group F-43m (No. 216)
Symmetry-distinct sites (fractional):
Li (0.0000, 0.0000, 0.0000) (multiplicity 4)
Dy (0.2500, 0.2500, 0.2500) (multiplicity 4)
Th (0.2500, 0.2500, 0.7500) (multiplicity 4)
Si (0.0000, 0.0000, 0.5000) (multiplicity 4)

***

Material: Li2DyTm2Si2
Method: DFT, PBE
State: optimized geometry

## Properties
- Total DFT energy (no corrections): -4.4168 eV/atom
- Theoretical density: 6.5 g/cm³

Cell lengths 4.4149, 4.4149, 25.9179 Å; angles 90.00, 90.00, 120.00 degrees
Space group R-3m (No. 166, hexagonal axes)
Symmetry-distinct sites (fractional):
Li (0.0000, 0.0000, 0.0989) (multiplicity 6)
Dy (0.0000, 0.0000, 0.5000) (multiplicity 3)
Tm (0.0000, 0.0000, 0.3725) (multiplicity 6)
Si (0.0000, 0.0000, 0.2381) (multiplicity 6)

***

Material: LiDyTmSi
Method: DFT, PBE
State: optimized geometry

## Properties
- Total DFT energy (no corrections): -4.4511 eV/atom
- Theoretical density: 7.2 g/cm³

Cell lengths 6.9674, 6.9674, 6.9674 Å; angles 90.00, 90.00, 90.00 degrees
Space group F-43m (No. 216)
Symmetry-distinct sites (fractional):
Li (0.0000, 0.0000, 0.0000) (multiplicity 4)
Dy (0.2500, 0.2500, 0.2500) (multiplicity 4)
Tm (0.2500, 0.2500, 0.7500) (multiplicity 4)
Si (0.0000, 0.0000, 0.5000) (multiplicity 4)

***

> The highest total DFT energy (no corrections) belongs to which entry?

Li2DyTm2Si2

***

> The lowest total DFT energy (no corrections) belongs to which entry?

LiDyThSi

***

> Number 1 is which compound?

LiDyThSi

***

> What is the theoretical density in the third record?

7.2 g/cm³